Entry 1:
This record from the Open Quantum Materials Database describes Sc4AsAuC2 after structural relaxation. The functional is PBE. Values from VASP.

Cell and atoms, written as Quantum ESPRESSO input:
```
&SYSTEM
  ibrav = 0, nat = 8, ntyp = 4
/
ATOMIC_SPECIES
C 12.01 C.upf
Sc 44.96 Sc.upf
Au 196.97 Au.upf
As 74.92 As.upf
ATOMIC_POSITIONS crystal
C 0.3333 0.6667 0.7522
C 0.3333 0.6667 0.2478
Sc 0.6667 0.3333 0.1529
Sc 0.0000 0.0000 0.6644
Sc 0.0000 0.0000 0.3356
Sc 0.6667 0.3333 0.8471
Au 0.6667 0.3333 0.5000
As 0.0000 0.0000 0.0000
CELL_PARAMETERS angstrom
3.4009 0.0000 0.0000
-1.7005 2.9453 0.0000
0.0000 0.0000 13.2994
```

Results
Energy = -57.44 eV per formula unit
Spin magnetization = 0.43 μB/f.u.
V = 16.652 Å³ per atom

---

Entry 2:
This record from the Open Quantum Materials Database describes Ta4AsAuC2 after structural relaxation. The functional is PBE. Values from VASP.

Cell and atoms, written as Quantum ESPRESSO input:
```
&SYSTEM
  ibrav = 0, nat = 8, ntyp = 4
/
ATOMIC_SPECIES
Au 196.97 Au.upf
As 74.92 As.upf
Ta 180.95 Ta.upf
C 12.01 C.upf
ATOMIC_POSITIONS crystal
Au 0.0000 0.0000 0.5000
As 0.6667 0.3333 0.0000
Ta 0.0000 0.0000 0.8526
Ta 0.6667 0.3333 0.6727
Ta 0.6667 0.3333 0.3273
Ta 0.0000 0.0000 0.1474
C 0.3333 0.6667 0.2402
C 0.3333 0.6667 0.7598
CELL_PARAMETERS angstrom
-2.2150 2.2259 -0.8965
-0.6385 -3.1809 -0.3722
-5.0814 -0.3478 11.6912
```

Results
Energy = -77.78 eV per formula unit
Spin magnetization = 0.01 μB/f.u.
V = 14.722 Å³ per atom

---

Entry 3:
This record from the Open Quantum Materials Database describes Y4AsAuC2 after structural relaxation. The functional is PBE. Values from VASP.

Cell and atoms, written as Quantum ESPRESSO input:
```
&SYSTEM
  ibrav = 0, nat = 8, ntyp = 4
/
ATOMIC_SPECIES
Y 88.91 Y.upf
Au 196.97 Au.upf
As 74.92 As.upf
C 12.01 C.upf
ATOMIC_POSITIONS crystal
Y 0.6667 0.3333 0.1442
Y 0.0000 0.0000 0.3396
Y 0.0000 0.0000 0.6604
Y 0.6667 0.3333 0.8558
Au 0.6667 0.3333 0.5000
As 0.0000 0.0000 0.0000
C 0.3333 0.6667 0.2503
C 0.3333 0.6667 0.7497
CELL_PARAMETERS angstrom
-1.6110 -3.2214 -0.9525
3.7133 0.3011 -0.0128
0.3764 -4.0812 13.1662
```

Results
Energy = -57.30 eV per formula unit
Spin magnetization = 0.00 μB/f.u.
V = 20.719 Å³ per atom